1.
# LiZr2Be (GGA-PBE, optimized geometry)
# E_tot = -5.42 eV/atom
# ΔE_f = 0.27 eV/atom
data_LiZr2Be
_chemical_formula_sum 'Li2 Zr4 Be2'
_space_group_name_H-M_alt 'C 1 2/m 1'
_space_group_IT_number 12
_cell_length_a 10.9521
_cell_length_b 3.2190
_cell_length_c 4.7448
_cell_angle_alpha 90.00
_cell_angle_beta 115.56
_cell_angle_gamma 90.00
loop_
_space_group_symop_operation_xyz
'x,y,z'
'-x,-y,-z'
'-x,y,-z'
'x,-y,z'
'x+1/2,y+1/2,z'
'-x+1/2,-y+1/2,-z'
'-x+1/2,y+1/2,-z'
'x+1/2,-y+1/2,z'
loop_
_atom_site_label
_atom_site_fract_x
_atom_site_fract_y
_atom_site_fract_z
Li1 0.0000 0.0000 0.0000
Zr1 0.2140 0.0000 0.7141
Be1 0.0000 0.5000 0.5000

2.
# La2SiAs (GGA-PBE, optimized geometry)
# E_tot = -5.20 eV/atom
# Formation energy without anion corrections = -220 meV per atom
# Energy relative to the lowest polymorph listed for this composition = 914.3 meV per atom
data_La2SiAs
_chemical_formula_sum 'La8 Si4 As4'
_space_group_name_H-M_alt 'F -4 3 m'
_space_group_IT_number 216
_space_group_name_Hall 'F -4 2 3'
_cell_length_a 7.2960
_cell_length_b 7.2960
_cell_length_c 7.2960
_cell_angle_alpha 90.00
_cell_angle_beta 90.00
_cell_angle_gamma 90.00
loop_
_atom_site_label
_atom_site_fract_x
_atom_site_fract_y
_atom_site_fract_z
La1 0.0000 0.0000 0.0000
La2 0.2500 0.2500 0.2500
Si1 0.2500 0.2500 0.7500
As1 0.0000 0.0000 0.5000

3.
# SrPmTh (GGA-PBE, optimized geometry)
# E_tot = -4.43 eV/atom
# ΔE_f = 0.19 eV/atom
# Energy relative to the lowest polymorph listed for this composition = 13.0 meV per atom
data_SrPmTh
_chemical_formula_sum 'Sr1 Pm1 Th1'
_space_group_name_H-M_alt 'P 3 m 1'
_space_group_IT_number 156
_cell_length_a 3.7328
_cell_length_b 3.7328
_cell_length_c 9.4563
_cell_angle_alpha 90.00
_cell_angle_beta 90.00
_cell_angle_gamma 120.00
loop_
_space_group_symop_operation_xyz
'x,y,z'
'-y,x-y,z'
'-x+y,-x,z'
'-y,-x,z'
'-x+y,y,z'
'x,x-y,z'
loop_
_atom_site_label
_atom_site_fract_x
_atom_site_fract_y
_atom_site_fract_z
Sr1 0.0000 0.0000 0.0000
Pm1 0.3333 0.6667 0.6365
Th1 0.6667 0.3333 0.3416

4.
# AuICl2 (GGA-PBE, optimized geometry)
# E_tot = -2.31 eV/atom
# Formation energy without anion corrections = -176 meV per atom
# Energy relative to the lowest polymorph listed for this composition = 32.1 meV per atom
data_AuICl2
_chemical_formula_sum 'Au4 I4 Cl8'
_space_group_name_H-M_alt 'P n n a'
_space_group_IT_number 52
_cell_length_a 9.9240
_cell_length_b 5.0644
_cell_length_c 10.3681
_cell_angle_alpha 90.00
_cell_angle_beta 90.00
_cell_angle_gamma 90.00
loop_
_space_group_symop_operation_xyz
'x,y,z'
'-x,-y,-z'
'-x+1/2,-y,z'
'x+1/2,y,-z'
'x,-y+1/2,-z+1/2'
'-x,y+1/2,z+1/2'
'-x+1/2,y+1/2,-z+1/2'
'x+1/2,-y+1/2,z+1/2'
loop_
_atom_site_label
_atom_site_fract_x
_atom_site_fract_y
_atom_site_fract_z
Au1 0.2500 0.0000 0.0795
I1 0.0938 0.2500 0.2500
Cl1 0.1270 0.2179 0.9205

5.
# B3H2Rh6 (GGA-PBE, optimized geometry)
# E_tot = -6.64 eV/atom
data_B3H2Rh6
_chemical_formula_sum 'B6 H4 Rh12'
_space_group_name_H-M_alt 'C 1 2/m 1'
_space_group_IT_number 12
_cell_length_a 5.5450
_cell_length_b 9.6980
_cell_length_c 4.6214
_cell_angle_alpha 90.00
_cell_angle_beta 113.06
_cell_angle_gamma 90.00
loop_
_space_group_symop_operation_xyz
'x,y,z'
'-x,-y,-z'
'-x,y,-z'
'x,-y,z'
'x+1/2,y+1/2,z'
'-x+1/2,-y+1/2,-z'
'-x+1/2,y+1/2,-z'
'x+1/2,-y+1/2,z'
loop_
_atom_site_label
_atom_site_fract_x
_atom_site_fract_y
_atom_site_fract_z
B1 0.0000 0.0000 0.0000
B2 0.0000 0.3359 0.0000
H1 0.0000 0.1975 0.5000
Rh1 0.2452 0.1688 0.2477
Rh2 0.2500 0.0000 0.7606

6.
# InFe2NiN (GGA-PBE, optimized geometry)
# E_tot = -6.81 eV/atom
# Formation energy without anion corrections = -52 meV per atom
data_InFe2NiN
_chemical_formula_sum 'In1 Fe2 Ni1 N1'
_space_group_name_H-M_alt 'P 4/m m m'
_space_group_IT_number 123
_space_group_name_Hall '-P 4 2'
_cell_length_a 3.8593
_cell_length_b 3.8593
_cell_length_c 3.9798
_cell_angle_alpha 90.00
_cell_angle_beta 90.00
_cell_angle_gamma 90.00
loop_
_atom_site_label
_atom_site_fract_x
_atom_site_fract_y
_atom_site_fract_z
In1 0.0000 0.0000 0.0000
Fe1 0.0000 0.5000 0.5000
Ni1 0.5000 0.5000 0.0000
N1 0.5000 0.5000 0.5000

7.
# Ho2TmMg4 (GGA-PBE, optimized geometry)
# E_tot = -2.45 eV/atom
# ΔE_f = 0.41 eV/atom
# Energy relative to the lowest polymorph listed for this composition = 255.6 meV per atom
data_Ho2TmMg4
_chemical_formula_sum 'Ho4 Tm2 Mg8'
_space_group_name_H-M_alt 'C m m m'
_space_group_IT_number 65
_space_group_name_Hall '-C 2 2'
_cell_length_a 5.9462
_cell_length_b 13.0206
_cell_length_c 5.3799
_cell_angle_alpha 90.00
_cell_angle_beta 90.00
_cell_angle_gamma 90.00
loop_
_atom_site_label
_atom_site_fract_x
_atom_site_fract_y
_atom_site_fract_z
Ho1 0.0000 0.1313 0.0000
Tm1 0.0000 0.5000 0.5000
Mg1 0.0000 0.2600 0.5000
Mg2 0.0000 0.3820 0.0000

8.
# BaSrCaI6 (GGA-PBE, optimized geometry)
# E_tot = -3.33 eV/atom
# Formation energy without anion corrections = -1677 meV per atom
data_BaSrCaI6
_chemical_formula_sum 'Ba2 Sr2 Ca2 I12'
_space_group_name_H-M_alt 'P -3 1 c'
_space_group_IT_number 163
_space_group_name_Hall '-P 3 2c'
_cell_length_a 8.2557
_cell_length_b 8.2557
_cell_length_c 14.9906
_cell_angle_alpha 90.00
_cell_angle_beta 90.00
_cell_angle_gamma 120.00
loop_
_atom_site_label
_atom_site_fract_x
_atom_site_fract_y
_atom_site_fract_z
Ba1 0.0000 0.0000 0.0000
Sr1 0.3333 0.6667 0.2500
Ca1 0.3333 0.6667 0.7500
I1 0.0132 0.3602 0.6291

9.
# K2BeCu (GGA-PBE, optimized geometry)
# E_tot = -2.07 eV/atom
# ΔE_f = 0.43 eV/atom
data_K2BeCu
_chemical_formula_sum 'K4 Be2 Cu2'
_space_group_name_H-M_alt 'C 1 m 1'
_space_group_IT_number 8
_cell_length_a 6.9712
_cell_length_b 4.0234
_cell_length_c 9.5745
_cell_angle_alpha 90.00
_cell_angle_beta 104.09
_cell_angle_gamma 90.00
loop_
_space_group_symop_operation_xyz
'x,y,z'
'x,-y,z'
'x+1/2,y+1/2,z'
'x+1/2,-y+1/2,z'
loop_
_atom_site_label
_atom_site_fract_x
_atom_site_fract_y
_atom_site_fract_z
K1 0.0000 0.0000 0.0000
K2 0.1788 0.0000 0.5331
Be1 0.4223 0.0000 0.2670
Cu1 0.2553 0.5000 0.2671

10.
# CuHRh (GGA-PBE, optimized geometry)
# E_tot = -4.53 eV/atom
# Energy relative to the lowest polymorph listed for this composition = 383.7 meV per atom
data_CuHRh
_chemical_formula_sum 'Cu4 H4 Rh4'
_space_group_name_H-M_alt 'F -4 3 m'
_space_group_IT_number 216
_space_group_name_Hall 'F -4 2 3'
_cell_length_a 4.9996
_cell_length_b 4.9996
_cell_length_c 4.9996
_cell_angle_alpha 90.00
_cell_angle_beta 90.00
_cell_angle_gamma 90.00
loop_
_atom_site_label
_atom_site_fract_x
_atom_site_fract_y
_atom_site_fract_z
Cu1 0.0000 0.0000 0.0000
H1 0.2500 0.2500 0.2500
Rh1 0.0000 0.0000 0.5000

11.
# CaTbNpO6 (GGA-PBE, optimized geometry)
# E_tot = -8.44 eV/atom
# Formation energy without anion corrections = -2961 meV per atom
data_CaTbNpO6
_chemical_formula_sum 'Ca2 Tb2 Np2 O12'
_space_group_name_H-M_alt 'P -3 1 c'
_space_group_IT_number 163
_space_group_name_Hall '-P 3 2c'
_cell_length_a 5.7342
_cell_length_b 5.7342
_cell_length_c 9.4112
_cell_angle_alpha 90.00
_cell_angle_beta 90.00
_cell_angle_gamma 120.00
loop_
_atom_site_label
_atom_site_fract_x
_atom_site_fract_y
_atom_site_fract_z
Ca1 0.3333 0.6667 0.2500
Tb1 0.0000 0.0000 0.0000
Np1 0.3333 0.6667 0.7500
O1 0.0414 0.3632 0.6331

12.
# Hf2BeTlO (GGA-PBE, optimized geometry)
# E_tot = -4.70 eV/atom
# Formation energy without anion corrections = 1495 meV per atom
data_Hf2BeTlO
_chemical_formula_sum 'Hf2 Be1 Tl1 O1'
_space_group_name_H-M_alt 'P 4/m m m'
_space_group_IT_number 123
_space_group_name_Hall '-P 4 2'
_cell_length_a 5.3645
_cell_length_b 5.3645
_cell_length_c 4.1496
_cell_angle_alpha 90.00
_cell_angle_beta 90.00
_cell_angle_gamma 90.00
loop_
_atom_site_label
_atom_site_fract_x
_atom_site_fract_y
_atom_site_fract_z
Hf1 0.0000 0.5000 0.0000
Be1 0.0000 0.0000 0.5000
Tl1 0.0000 0.0000 0.0000
O1 0.5000 0.5000 0.5000